1.
VASP calculation (GGA-PBE) on a relaxed YTmBi2 crystal.

Output
The total energy comes out at -0.39764 Ry per atom. As for the crystal system: trigonal. The value obtained for the polymorph energy (0 for the lowest one) is 105 meV per atom. As for the space group: R3m, No. 160. As for the formation enthalpy at 0 K: -0.7358 eV/atom. The value obtained for the size of the total moment is 0.00 μB per formula unit.

Lattice parameters (Å, degrees): 4.4264 4.4264 7.9798 73.90 73.90 60.00
Sites, in units of the cell vectors:
Y1 0.6685 0.6685 0.9944
Tm1 0.4983 0.4983 0.5051
Bi1 0.0828 0.0828 0.7515
Bi2 0.2503 0.2503 0.2490

***

2.
VASP calculation (GGA-PBE) on a relaxed YTm3Bi3 crystal.

Output
The total energy comes out at -0.38014 Ry per atom. As for the crystal system: cubic. The value obtained for the polymorph energy (0 for the lowest one) is 0 meV per atom. As for the space group: P2_13, No. 198. As for the formation enthalpy at 0 K: -0.6690 eV/atom. The value obtained for the size of the total moment is 0.00 μB per formula unit.

Lattice parameters (Å, degrees): 9.3188 9.3188 9.3188 90.00 90.00 90.00
Sites, in units of the cell vectors:
Y1 0.0725 0.5725 0.9275
Y2 0.9275 0.0725 0.5725
Y3 0.4275 0.4275 0.4275
Y4 0.5725 0.9275 0.0725
Tm1 0.8229 0.3229 0.1771
Tm2 0.9235 0.9235 0.9235
Tm3 0.8243 0.6757 0.3243
Tm4 0.1771 0.8229 0.3229
Tm5 0.1757 0.1757 0.1757
Tm6 0.3243 0.8243 0.6757
Tm7 0.0765 0.4235 0.5765
Tm8 0.3229 0.1771 0.8229
Tm9 0.6757 0.3243 0.8243
Tm10 0.6771 0.6771 0.6771
Tm11 0.5765 0.0765 0.4235
Tm12 0.4235 0.5765 0.0765
Bi1 0.7467 0.6238 0.0013
Bi2 0.8762 0.9987 0.2467
Bi3 0.0013 0.7467 0.6238
Bi4 0.1238 0.4987 0.2533
Bi5 0.2533 0.1238 0.4987
Bi6 0.2467 0.8762 0.9987
Bi7 0.9987 0.2467 0.8762
Bi8 0.3762 0.5013 0.7533
Bi9 0.4987 0.2533 0.1238
Bi10 0.6238 0.0013 0.7467
Bi11 0.7533 0.3762 0.5013
Bi12 0.5013 0.7533 0.3762

***

3.
VASP calculation (GGA-PBE) on a relaxed YTm3Bi2 crystal.

Output
The total energy comes out at -0.37206 Ry per atom. As for the crystal system: monoclinic. As for the space group: C2/m, No. 12. As for the formation enthalpy at 0 K: -0.4554 eV/atom. The value obtained for the size of the total moment is 0.00 μB per formula unit.

Lattice parameters (Å, degrees): 4.2819 10.7429 9.9377 125.77 90.00 101.50
Sites, in units of the cell vectors:
Y1 0.8896 0.7792 0.8882
Y2 0.1104 0.2208 0.1118
Tm1 0.3115 0.6230 0.5133
Tm2 0.9439 0.8878 0.5569
Tm3 0.6376 0.2753 0.7952
Tm4 0.3624 0.7247 0.2048
Tm5 0.0561 0.1122 0.4431
Tm6 0.6885 0.3770 0.4867
Bi1 0.4912 0.9823 0.8242
Bi2 0.5088 0.0177 0.1758
Bi3 0.7483 0.4965 0.2110
Bi4 0.2517 0.5035 0.7890

***

4.
VASP calculation (GGA-PBE) on a relaxed Y2Tm5Bi5 crystal.

Output
The total energy comes out at -0.37427 Ry per atom. As for the crystal system: monoclinic. As for the space group: C2/m, No. 12. As for the formation enthalpy at 0 K: -0.5346 eV/atom. The value obtained for the size of the total moment is 0.00 μB per formula unit.

Lattice parameters (Å, degrees): 4.4050 7.6010 12.5891 111.30 90.00 106.84
Sites, in units of the cell vectors:
Y1 0.0495 0.0991 0.7842
Y2 0.9505 0.9009 0.2158
Tm1 0.5000 0.0000 0.5000
Tm2 0.6639 0.3278 0.0281
Tm3 0.6997 0.3994 0.3273
Tm4 0.3003 0.6006 0.6727
Tm5 0.3361 0.6722 0.9719
Bi1 0.1234 0.2468 0.4455
Bi2 0.7004 0.4008 0.7810
Bi3 0.2996 0.5992 0.2190
Bi4 0.8766 0.7532 0.5545
Bi5 0.0000 0.0000 0.0000

***

5.
VASP calculation (GGA-PBE) on a relaxed Y12Tm5Bi3 crystal.

Output
The total energy comes out at -0.35918 Ry per atom. As for the crystal system: cubic. As for the space group: Ia-3d, No. 230. As for the formation enthalpy at 0 K: 0.6916 eV/atom. The value obtained for the size of the total moment is 0.00 μB per formula unit.

Lattice parameters (Å, degrees): 15.9152 15.9152 15.9152 109.47 109.47 109.47
Sites, in units of the cell vectors:
Bi1 0.7500 0.3750 0.1250
Bi2 0.8750 0.7500 0.1250
Bi3 0.3750 0.7500 0.6250
Bi4 0.2500 0.1250 0.3750
Bi5 0.8750 0.1250 0.2500
Bi6 0.3750 0.6250 0.2500
Bi7 0.6250 0.3750 0.7500
Bi8 0.1250 0.8750 0.7500
Bi9 0.7500 0.8750 0.6250
Bi10 0.6250 0.2500 0.3750
Bi11 0.1250 0.2500 0.8750
Bi12 0.2500 0.6250 0.8750
Tm1 0.1250 0.3750 0.2500
Tm2 0.0000 0.5000 0.0000
Tm3 0.0000 0.0000 0.0000
Tm4 0.3750 0.2500 0.1250
Tm5 0.5000 0.0000 0.5000
Tm6 0.5000 0.5000 0.0000
Tm7 0.1250 0.7500 0.3750
Tm8 0.7500 0.1250 0.8750
Tm9 0.7500 0.6250 0.3750
Tm10 0.3750 0.1250 0.7500
Tm11 0.6250 0.8750 0.2500
Tm12 0.5000 0.5000 0.5000
Tm13 0.5000 0.0000 0.0000
Tm14 0.0000 0.0000 0.5000
Tm15 0.2500 0.3750 0.6250
Tm16 0.2500 0.8750 0.1250
Tm17 0.0000 0.5000 0.5000
Tm18 0.8750 0.2500 0.6250
Tm19 0.6250 0.7500 0.8750
Tm20 0.8750 0.6250 0.7500
Y1 0.7290 0.1390 0.0723
Y2 0.3433 0.5723 0.4333
Y3 0.9277 0.3610 0.2710
Y4 0.5723 0.2290 0.1390
Y5 0.5900 0.7290 0.6567
Y6 0.9277 0.5667 0.1567
Y7 0.3433 0.7710 0.4100
Y8 0.0667 0.9100 0.1390
Y9 0.5667 0.9277 0.6567
Y10 0.7290 0.5900 0.1567
Y11 0.7710 0.4277 0.3610
Y12 0.8433 0.9333 0.0723
Y13 0.1390 0.7290 0.5723
Y14 0.3610 0.4333 0.0900
Y15 0.0900 0.9333 0.3610
Y16 0.4100 0.1390 0.5667
Y17 0.0900 0.1567 0.2290
Y18 0.4277 0.6567 0.0667
Y19 0.8433 0.9100 0.2710
Y20 0.1390 0.4100 0.0667
Y21 0.3610 0.9277 0.7710
Y22 0.5667 0.6390 0.4100
Y23 0.9333 0.8433 0.5723
Y24 0.7710 0.3433 0.9100
Y25 0.4333 0.3610 0.5900
Y26 0.0667 0.1567 0.4277
Y27 0.2290 0.6567 0.0900
Y28 0.1567 0.0900 0.7290
Y29 0.6390 0.0723 0.2290
Y30 0.8610 0.5900 0.9333
Y31 0.5723 0.3433 0.9333
Y32 0.5900 0.8610 0.4333
Y33 0.9100 0.8433 0.7710
Y34 0.9100 0.0667 0.6390
Y35 0.8610 0.2710 0.4277
Y36 0.1567 0.0667 0.9277
Y37 0.6390 0.5667 0.9100
Y38 0.4333 0.0723 0.3433
Y39 0.2710 0.4100 0.8433
Y40 0.2290 0.5723 0.6390
Y41 0.9333 0.0900 0.8610
Y42 0.6567 0.2290 0.5900
Y43 0.4277 0.7710 0.8610
Y44 0.0723 0.4333 0.8433
Y45 0.4100 0.2710 0.3433
Y46 0.0723 0.6390 0.7290
Y47 0.6567 0.4277 0.5667
Y48 0.2710 0.8610 0.9277

***

6.
VASP calculation (GGA-PBE) on a relaxed Tm2ZnBi crystal.

Output
The total energy comes out at -0.28739 Ry per atom. As for the crystal system: tetragonal. The value obtained for the polymorph energy (0 for the lowest one) is 96 meV per atom. As for the space group: P4/mmm, No. 123. As for the formation enthalpy at 0 K: -0.3856 eV/atom. The value obtained for the size of the total moment is 0.00 μB per formula unit.

Lattice parameters (Å, degrees): 4.0642 4.9812 4.9812 90.00 90.00 90.00
Sites, in units of the cell vectors:
Zn1 0.5000 0.5000 0.5000
Tm1 0.0000 0.0000 0.5000
Tm2 0.0000 0.5000 0.0000
Bi1 0.5000 0.0000 0.0000

***

7.
VASP calculation (GGA-PBE) on a relaxed TmZn4Bi crystal.

Output
The total energy comes out at -0.17183 Ry per atom. As for the crystal system: cubic. As for the space group: F-43m, No. 216. As for the formation enthalpy at 0 K: -0.0965 eV/atom. The value obtained for the size of the total moment is 0.00 μB per formula unit.

Lattice parameters (Å, degrees): 5.5235 5.5235 5.5235 60.00 60.00 60.00
Sites, in units of the cell vectors:
Zn1 0.6232 0.6232 0.1304
Zn2 0.6232 0.1304 0.6232
Zn3 0.6232 0.6232 0.6232
Zn4 0.1304 0.6232 0.6232
Tm1 0.2500 0.2500 0.2500
Bi1 0.0000 0.0000 0.0000

***

8.
VASP calculation (GGA-PBE) on a relaxed Tm4ZnBi2 crystal.

Output
The total energy comes out at -0.30802 Ry per atom. As for the crystal system: monoclinic. As for the space group: P2_1/m, No. 11. As for the formation enthalpy at 0 K: -0.3449 eV/atom. The value obtained for the size of the total moment is 0.00 μB per formula unit.

Lattice parameters (Å, degrees): 6.8180 6.4787 9.2371 90.00 104.83 90.00
Sites, in units of the cell vectors:
Tm1 0.5105 0.4984 0.2323
Tm2 0.0491 0.7500 0.8262
Tm3 0.9509 0.2500 0.1738
Tm4 0.5105 0.0016 0.2323
Tm5 0.8635 0.2500 0.5451
Tm6 0.4895 0.9984 0.7677
Tm7 0.4895 0.5016 0.7677
Tm8 0.1365 0.7500 0.4549
Zn1 0.1676 0.7500 0.1543
Zn2 0.8324 0.2500 0.8457
Bi1 0.7613 0.7500 0.0508
Bi2 0.2387 0.2500 0.9492
Bi3 0.3052 0.2500 0.4654
Bi4 0.6948 0.7500 0.5346

***

9.
VASP calculation (GGA-PBE) on a relaxed Tm3ZnBi crystal.

Output
The total energy comes out at -0.29629 Ry per atom. As for the crystal system: orthorhombic. As for the space group: Pmmn, No. 59. As for the formation enthalpy at 0 K: -0.3173 eV/atom. The value obtained for the size of the total moment is 0.00 μB per formula unit.

Lattice parameters (Å, degrees): 4.1805 7.1153 9.4671 90.00 90.00 90.00
Sites, in units of the cell vectors:
Tm1 0.0000 0.7609 0.3380
Tm2 0.5000 0.7391 0.6620
Tm3 0.5000 0.2609 0.6620
Tm4 0.0000 0.2391 0.3380
Tm5 0.0000 0.0000 0.9055
Tm6 0.5000 0.5000 0.0945
Zn1 0.0000 0.0000 0.5948
Zn2 0.5000 0.5000 0.4052
Bi1 0.5000 0.0000 0.1506
Bi2 0.0000 0.5000 0.8494

***

10.
VASP calculation (GGA-PBE) on a relaxed TmZnBi crystal.

Output
The total energy comes out at -0.26023 Ry per atom. As for the crystal system: trigonal. As for the space group: P3m1, No. 156. As for the formation enthalpy at 0 K: -0.3319 eV/atom. The value obtained for the size of the total moment is 0.00 μB per formula unit.

Lattice parameters (Å, degrees): 4.3851 4.4723 4.4723 120.00 90.00 90.00
Sites, in units of the cell vectors:
Zn1 0.0028 0.0000 0.0000
Tm1 0.7189 0.6667 0.3333
Bi1 0.2782 0.3333 0.6667

***

11.
VASP calculation (GGA-PBE) on a relaxed Tm5ZnBi5 crystal.

Output
The total energy comes out at -0.31628 Ry per atom. As for the crystal system: monoclinic. As for the space group: C2/m, No. 12. As for the formation enthalpy at 0 K: -0.3908 eV/atom. The value obtained for the size of the total moment is 0.34 μB per formula unit.

Lattice parameters (Å, degrees): 6.1511 7.3010 9.0918 107.70 90.00 114.91
Last column: magnetic moment on the atom in μB.
Sites, in units of the cell vectors:
Tm1 0.8227 0.6453 0.1700  0.00
Tm2 0.8310 0.6621 0.6613  0.01
Tm3 0.5000 0.0000 0.0000  0.14
Tm4 0.1690 0.3379 0.3387  0.01
Tm5 0.1773 0.3547 0.8300  0.00
Zn1 0.0000 0.0000 0.0000  0.04
Bi1 0.6472 0.2944 0.3407  0.00
Bi2 0.6610 0.3220 0.8211  0.00
Bi3 0.0000 0.0000 0.5000  -0.01
Bi4 0.3390 0.6780 0.1789  0.00
Bi5 0.3528 0.7056 0.6593  0.00

***

12.
VASP calculation (GGA-PBE) on a relaxed Tm12Zn6Bi crystal.

Output
The total energy comes out at -0.26764 Ry per atom. As for the crystal system: cubic. As for the space group: Im-3, No. 204. As for the formation enthalpy at 0 K: -0.2108 eV/atom. The value obtained for the size of the total moment is 0.00 μB per formula unit.

Lattice parameters (Å, degrees): 8.5772 8.5772 8.5772 109.47 109.47 109.47
Sites, in units of the cell vectors:
Tm1 0.2931 0.1004 0.8073
Tm2 0.2931 0.4858 0.1927
Tm3 0.7069 0.5142 0.8073
Tm4 0.7069 0.8996 0.1927
Tm5 0.1004 0.8073 0.2931
Tm6 0.4858 0.1927 0.2931
Tm7 0.5142 0.8073 0.7069
Tm8 0.8996 0.1927 0.7069
Tm9 0.8073 0.2931 0.1004
Tm10 0.1927 0.2931 0.4858
Tm11 0.8073 0.7069 0.5142
Tm12 0.1927 0.7069 0.8996
Zn1 0.3766 0.5000 0.8766
Zn2 0.6234 0.5000 0.1234
Zn3 0.5000 0.8766 0.3766
Zn4 0.5000 0.1234 0.6234
Zn5 0.8766 0.3766 0.5000
Zn6 0.1234 0.6234 0.5000
Bi1 0.0000 0.0000 0.0000

***

13.
VASP calculation (GGA-PBE) on a relaxed TmZn2Bi crystal.

Output
The total energy comes out at -0.22026 Ry per atom. As for the crystal system: tetragonal. As for the space group: P4/mmm, No. 123. As for the formation enthalpy at 0 K: -0.2717 eV/atom. The value obtained for the size of the total moment is 0.00 μB per formula unit.

Lattice parameters (Å, degrees): 4.5054 4.4326 4.4326 90.00 90.00 90.00
Sites, in units of the cell vectors:
Zn1 0.0000 0.0000 0.5000
Zn2 0.0000 0.5000 0.0000
Tm1 0.5000 0.5000 0.5000
Bi1 0.5000 0.0000 0.0000

***

14.
VASP calculation (GGA-PBE) on a relaxed Tm7Zn2Bi2 crystal.

Output
The total energy comes out at -0.28591 Ry per atom. As for the crystal system: orthorhombic. As for the space group: Cmmm, No. 65. As for the formation enthalpy at 0 K: -0.1073 eV/atom. The value obtained for the size of the total moment is 0.02 μB per formula unit.

Lattice parameters (Å, degrees): 7.0314 6.7957 7.0314 90.00 99.02 90.00
Sites, in units of the cell vectors:
Tm1 0.0000 0.2455 0.5000
Tm2 0.5000 0.7545 0.0000
Tm3 0.0000 0.7545 0.5000
Tm4 0.5000 0.2455 0.0000
Tm5 0.0000 0.0000 0.0000
Tm6 0.5000 0.7623 0.5000
Tm7 0.5000 0.2377 0.5000
Zn1 0.7249 0.0000 0.2751
Zn2 0.2751 0.0000 0.7249
Bi1 0.8016 0.5000 0.8016
Bi2 0.1984 0.5000 0.1984

***

15.
VASP calculation (GGA-PBE) on a relaxed Tm2ZnBi crystal.

Output
The total energy comes out at -0.29448 Ry per atom. As for the crystal system: monoclinic. The value obtained for the polymorph energy (0 for the lowest one) is 0 meV per atom. As for the space group: P2_1/m, No. 11. As for the formation enthalpy at 0 K: -0.4821 eV/atom. The value obtained for the size of the total moment is 0.00 μB per formula unit.

Lattice parameters (Å, degrees): 4.1477 6.0592 8.6249 108.02 90.00 90.00
Sites, in units of the cell vectors:
Tm1 0.7500 0.2393 0.4422
Tm2 0.2500 0.7607 0.5578
Tm3 0.7500 0.6863 0.9255
Tm4 0.2500 0.3137 0.0745
Zn1 0.7500 0.6068 0.2895
Zn2 0.2500 0.3932 0.7105
Bi1 0.7500 0.1082 0.7883
Bi2 0.2500 0.8918 0.2117

***

16.
VASP calculation (GGA-PBE) on a relaxed Tm5ZnBi2 crystal.

Output
The total energy comes out at -0.29300 Ry per atom. As for the crystal system: orthorhombic. As for the space group: Cmcm, No. 63. As for the formation enthalpy at 0 K: -0.0623 eV/atom. The value obtained for the size of the total moment is 0.00 μB per formula unit.

Lattice parameters (Å, degrees): 5.6184 7.9072 13.2931 90.00 90.00 110.81
Sites, in units of the cell vectors:
Tm1 0.9170 0.8340 0.8841
Tm2 0.9170 0.8340 0.6159
Tm3 0.3119 0.6238 0.4704
Tm4 0.3119 0.6238 0.0296
Tm5 0.6986 0.3972 0.2500
Tm6 0.3014 0.6028 0.7500
Tm7 0.6881 0.3762 0.5296
Tm8 0.6881 0.3762 0.9704
Tm9 0.0830 0.1660 0.1159
Tm10 0.0830 0.1660 0.3841
Zn1 0.7645 0.5290 0.7500
Zn2 0.2355 0.4710 0.2500
Bi1 0.8722 0.7444 0.3918
Bi2 0.8722 0.7444 0.1082
Bi3 0.1278 0.2556 0.6082
Bi4 0.1278 0.2556 0.8918

***

17.
VASP calculation (GGA-PBE) on a relaxed Tm5ZnBi crystal.

Output
The total energy comes out at -0.29773 Ry per atom. As for the crystal system: monoclinic. As for the space group: C2/c, No. 15. As for the formation enthalpy at 0 K: -0.1204 eV/atom. The value obtained for the size of the total moment is 0.00 μB per formula unit.

Lattice parameters (Å, degrees): 6.5038 6.5038 11.3124 77.37 77.37 59.63
Sites, in units of the cell vectors:
Tm1 0.9154 0.6267 0.1451
Tm2 0.2276 0.4972 0.5515
Tm3 0.6267 0.9154 0.6451
Tm4 0.9134 0.0866 0.2500
Tm5 0.5028 0.7724 0.9485
Tm6 0.4972 0.2276 0.0515
Tm7 0.0866 0.9134 0.7500
Tm8 0.3733 0.0846 0.3549
Tm9 0.7724 0.5028 0.4485
Tm10 0.0846 0.3733 0.8549
Zn1 0.0000 0.0000 0.0000
Zn2 0.0000 0.0000 0.5000
Bi1 0.4105 0.5895 0.2500
Bi2 0.5895 0.4105 0.7500

***

18.
VASP calculation (GGA-PBE) on a relaxed Tm5Zn2Bi crystal.

Output
The total energy comes out at -0.29403 Ry per atom. As for the crystal system: tetragonal. As for the space group: I4/mcm, No. 140. As for the formation enthalpy at 0 K: -0.4021 eV/atom. The value obtained for the size of the total moment is 0.00 μB per formula unit.

Lattice parameters (Å, degrees): 8.0438 8.0438 8.5359 118.11 118.11 90.00
Sites, in units of the cell vectors:
Tm1 0.5097 0.7061 0.7158
Tm2 0.7939 0.9903 0.2842
Tm3 0.0000 0.0000 0.0000
Tm4 0.5000 0.5000 0.0000
Tm5 0.2061 0.0097 0.7158
Tm6 0.7061 0.2061 0.7158
Tm7 0.0097 0.5097 0.7158
Tm8 0.2939 0.7939 0.2842
Tm9 0.9903 0.4903 0.2842
Tm10 0.4903 0.2939 0.2842
Zn1 0.1402 0.3598 0.0000
Zn2 0.6402 0.1402 0.0000
Zn3 0.3598 0.8598 0.0000
Zn4 0.8598 0.6402 0.0000
Bi1 0.7500 0.7500 0.5000
Bi2 0.2500 0.2500 0.5000